1.
{
  "formula": "MgBe2In",
  "functional": "PBE-GGA",
  "state": "optimized geometry",
  "magnetic_moment_mub_per_cell": 0.000,
  "vol_a3_per_atom": 15.88,
  "polymorph_energy_mev_per_atom": 65,
  "energy_ev_per_cell": -10.43,
  "lattice": [[2.8411, 0.0000, 0.0000], [0.0000, 3.0059, 0.0000], [0.0000, 0.0000, 7.4394]],
  "species": ["Mg", "Be", "Be", "In"],
  "frac_coords": [[0.0000, 0.0000, 0.0000], [0.0000, 0.0000, 0.3721], [0.5000, 0.5000, 0.2431], [0.5000, 0.5000, 0.6512]]
}

2.
{
  "formula": "MgBe2In",
  "functional": "PBE-GGA",
  "state": "optimized geometry",
  "magnetic_moment_mub_per_cell": 0.000,
  "vol_a3_per_atom": 16.78,
  "polymorph_energy_mev_per_atom": 120,
  "energy_ev_per_cell": -10.21,
  "lattice": [[3.2583, 0.0000, 0.0000], [0.0000, 4.1544, 0.0000], [0.0000, 0.0000, 4.9598]],
  "species": ["Mg", "Be", "Be", "In"],
  "frac_coords": [[0.0000, 0.0000, 0.0000], [0.5000, 0.5000, 0.2228], [0.5000, 0.5000, 0.7772], [0.5000, 0.0000, 0.5000]]
}

3.
{
  "formula": "MgBe2In",
  "functional": "PBE-GGA",
  "state": "optimized geometry",
  "magnetic_moment_mub_per_cell": 0.000,
  "vol_a3_per_atom": 15.86,
  "polymorph_energy_mev_per_atom": 283,
  "energy_ev_per_cell": -9.56,
  "lattice": [[0.0000, 3.1652, 3.1652], [3.1652, 0.0000, 3.1652], [3.1652, 3.1652, 0.0000]],
  "species": ["Mg", "Be", "Be", "In"],
  "frac_coords": [[0.0000, 0.0000, 0.0000], [0.5000, 0.5000, 0.5000], [0.7500, 0.7500, 0.7500], [0.2500, 0.2500, 0.2500]]
}

4.
{
  "formula": "MgBe4In",
  "functional": "PBE-GGA",
  "state": "optimized geometry",
  "magnetic_moment_mub_per_cell": 0.000,
  "vol_a3_per_atom": 12.43,
  "energy_ev_per_cell": -17.72,
  "lattice": [[0.0000, 3.3412, 3.3412], [3.3412, 0.0000, 3.3412], [3.3412, 3.3412, 0.0000]],
  "species": ["Mg", "Be", "Be", "Be", "Be", "In"],
  "frac_coords": [[0.0000, 0.0000, 0.0000], [0.1163, 0.6279, 0.6279], [0.6279, 0.1163, 0.6279], [0.6279, 0.6279, 0.1163], [0.6279, 0.6279, 0.6279], [0.2500, 0.2500, 0.2500]]
}

5.
{
  "formula": "Mg4BeIn",
  "functional": "PBE-GGA",
  "state": "optimized geometry",
  "magnetic_moment_mub_per_cell": 0.000,
  "vol_a3_per_atom": 22.00,
  "energy_ev_per_cell": -10.50,
  "lattice": [[0.0000, 4.0413, 4.0413], [4.0413, 0.0000, 4.0413], [4.0413, 4.0413, 0.0000]],
  "species": ["Mg", "Mg", "Mg", "Mg", "Be", "In"],
  "frac_coords": [[0.1246, 0.1246, 0.1246], [0.1246, 0.1246, 0.6263], [0.1246, 0.6263, 0.1246], [0.6263, 0.1246, 0.1246], [0.7500, 0.7500, 0.7500], [0.5000, 0.5000, 0.5000]]
}

6.
{
  "formula": "MgBe2In",
  "functional": "PBE-GGA",
  "state": "optimized geometry",
  "magnetic_moment_mub_per_cell": 0.000,
  "vol_a3_per_atom": 16.97,
  "polymorph_energy_mev_per_atom": 314,
  "energy_ev_per_cell": -9.43,
  "lattice": [[1.5464, 0.8928, 8.1969], [-1.5464, 0.8928, 8.1969], [0.0000, -1.7856, 8.1969]],
  "species": ["Mg", "Be", "Be", "In"],
  "frac_coords": [[0.0000, 0.0000, 0.0000], [0.2492, 0.2492, 0.2492], [0.7508, 0.7508, 0.7508], [0.5000, 0.5000, 0.5000]]
}

What are the energy relative to the elements values for these records? In order: 0.3390 0.3947 0.5571 0.2522 0.3902 0.5881 eV per atom.